Model P:
VASP calculation (GGA-PBE) on a relaxed structure of Nd3CBr3.

Density in kg/m³: 5469
Magnetic moment in μB per formula unit: 0.08

Unit cell a=7.514 b=7.514 c=8.055 alpha=99.06 beta=99.06 gamma=108.41
Sites, in units of the cell vectors:
Nd: 0.909 0.909 0.176
Nd: 0.854 0.541 0.773
Nd: 0.541 0.854 0.773
Nd: 0.146 0.459 0.227
Nd: 0.459 0.146 0.227
Nd: 0.091 0.091 0.824
C: 0.833 0.833 0.869
C: 0.167 0.167 0.131
Br: 0.599 0.599 0.337
Br: 0.169 0.831 0.500
Br: 0.831 0.169 0.500
Br: 0.281 0.719 0.000
Br: 0.719 0.281 0.000
Br: 0.401 0.401 0.663

Model Q:
VASP calculation (GGA-PBE) on a relaxed structure of Nd3CBr3.

Density in kg/m³: 5811
Magnetic moment in μB per formula unit: 0.00

Unit cell a=3.918 b=8.603 c=11.621 alpha=92.92 beta=90.00 gamma=90.00
Sites, in units of the cell vectors:
Nd: 0.250 0.314 0.621
Nd: 0.750 0.686 0.379
Nd: 0.250 0.910 0.607
Nd: 0.750 0.090 0.393
Nd: 0.250 0.881 0.166
Nd: 0.750 0.119 0.834
C: 0.250 0.876 0.379
C: 0.750 0.124 0.621
Br: 0.250 0.380 0.368
Br: 0.750 0.620 0.632
Br: 0.250 0.863 0.876
Br: 0.750 0.137 0.124
Br: 0.250 0.377 0.875
Br: 0.750 0.623 0.125

Which structure is the least stable? The one labeled model P.

Model P:
VASP calculation (GGA-PBE) on a relaxed structure of NiCBr2.

Density in kg/m³: 4739
Magnetic moment in μB per formula unit: 0.15

Unit cell a=7.590 b=7.590 c=7.590 alpha=27.23 beta=27.23 gamma=27.23
Site moments in Bohr magnetons follow the coordinates.
Sites, in units of the cell vectors:
Ni: 0.000 0.000 0.000  0.31
C: 0.500 0.500 0.500  -0.08
Br: 0.899 0.899 0.899  0.00
Br: 0.101 0.101 0.101  0.00

Model Q:
VASP calculation (GGA-PBE) on a relaxed structure of NiCBr2.

Density in kg/m³: 4612
Magnetic moment in μB per formula unit: 0.00

Unit cell a=5.472 b=5.472 c=6.760 alpha=66.12 beta=66.12 gamma=90.00
Sites, in units of the cell vectors:
Ni: 0.000 0.000 0.000
Ni: 0.750 0.250 0.500
C: 0.500 0.500 0.000
C: 0.250 0.750 0.500
Br: 0.631 0.125 0.250
Br: 0.119 0.625 0.250
Br: 0.375 0.369 0.750
Br: 0.875 0.881 0.750

Which structure is the least stable? The one labeled model P.

Model P:
VASP calculation (GGA-PBE) on a relaxed structure of NiCSe2Br.

Density in kg/m³: 4339
Magnetic moment in μB per formula unit: 1.09

Unit cell a=4.063 b=4.063 c=7.153 alpha=90.00 beta=90.00 gamma=90.00
Site moments in Bohr magnetons follow the coordinates.
Sites, in units of the cell vectors:
Ni: 0.500 0.500 0.500  0.99
C: 0.000 0.000 0.000  -0.01
Se: 0.000 0.500 0.000  0.01
Se: 0.500 0.000 0.000  0.01
Br: 0.000 0.000 0.500  0.05

Model Q:
VASP calculation (GGA-PBE) on a relaxed structure of NiCSe2Br.

Density in kg/m³: 4851
Magnetic moment in μB per formula unit: 2.15

Unit cell a=5.212 b=3.888 c=5.212 alpha=90.00 beta=90.00 gamma=90.00
Site moments in Bohr magnetons follow the coordinates.
Sites, in units of the cell vectors:
Ni: 0.500 0.500 0.500  1.07
C: 0.000 0.500 0.000  0.29
Se: 0.000 0.000 0.500  0.20
Se: 0.500 0.000 0.000  0.19
Br: 0.000 0.000 0.000  -0.01

Model R:
VASP calculation (GGA-PBE) on a relaxed structure of NiCSe2Br.

Density in kg/m³: 4819
Magnetic moment in μB per formula unit: 0.12

Unit cell a=4.661 b=4.661 c=4.894 alpha=90.00 beta=90.00 gamma=90.00
Site moments in Bohr magnetons follow the coordinates.
Sites, in units of the cell vectors:
Ni: 0.000 0.000 0.000  -0.25
C: 0.500 0.500 0.500  0.71
Se: 0.000 0.500 0.000  -0.32
Se: 0.500 0.000 0.000  -0.32
Br: 0.000 0.000 0.500  -0.08

Which structure is the least stable? The one labeled model Q.

Model P:
VASP calculation (GGA-PBE) on a relaxed structure of NiCSeBr2.

Density in kg/m³: 5284
Magnetic moment in μB per formula unit: 1.38

Unit cell a=4.769 b=4.769 c=4.277 alpha=90.00 beta=90.00 gamma=90.00
Site moments in Bohr magnetons follow the coordinates.
Sites, in units of the cell vectors:
Ni: 0.500 0.500 0.500  1.01
C: 0.000 0.000 0.000  -0.03
Se: 0.000 0.000 0.500  0.18
Br: 0.000 0.500 0.000  0.07
Br: 0.500 0.000 0.000  0.07

Model Q:
VASP calculation (GGA-PBE) on a relaxed structure of NiCSeBr2.

Density in kg/m³: 4600
Magnetic moment in μB per formula unit: 0.41

Unit cell a=4.900 b=4.900 c=4.652 alpha=90.00 beta=90.00 gamma=90.00
Site moments in Bohr magnetons follow the coordinates.
Sites, in units of the cell vectors:
Ni: 0.000 0.000 0.000  -0.21
C: 0.500 0.500 0.500  0.77
Se: 0.000 0.000 0.500  -0.48
Br: 0.000 0.500 0.000  -0.07
Br: 0.500 0.000 0.000  -0.07

Which structure is the least stable? The one labeled model Q.

Model P:
VASP calculation (GGA-PBE) on a relaxed structure of Os2CBr.

Density in kg/m³: 14903
Magnetic moment in μB per formula unit: 0.00

Unit cell a=4.207 b=4.207 c=4.207 alpha=60.00 beta=60.00 gamma=60.00
Sites, in units of the cell vectors:
C: 0.000 0.000 0.000
Os: 0.250 0.250 0.250
Os: 0.750 0.750 0.750
Br: 0.500 0.500 0.500

Model Q:
VASP calculation (GGA-PBE) on a relaxed structure of Os2CBr.

Density in kg/m³: 11823
Magnetic moment in μB per formula unit: 0.00

Unit cell a=4.981 b=4.981 c=6.404 alpha=67.12 beta=67.12 gamma=90.00
Sites, in units of the cell vectors:
C: 0.500 0.500 0.000
C: 0.250 0.750 0.500
Os: 0.525 0.125 0.250
Os: 0.225 0.625 0.250
Os: 0.375 0.475 0.750
Os: 0.875 0.775 0.750
Br: 0.000 0.000 0.000
Br: 0.750 0.250 0.500

Which structure is the least stable? The one labeled model P.

Model P:
VASP calculation (GGA-PBE) on a relaxed structure of OsCSe2Br.

Density in kg/m³: 9073
Magnetic moment in μB per formula unit: 0.00

Unit cell a=4.305 b=4.305 c=4.346 alpha=90.00 beta=90.00 gamma=90.00
Sites, in units of the cell vectors:
C: 0.000 0.000 0.000
Os: 0.500 0.500 0.500
Se: 0.000 0.500 0.000
Se: 0.500 0.000 0.000
Br: 0.000 0.000 0.500

Model Q:
VASP calculation (GGA-PBE) on a relaxed structure of OsCSe2Br.

Density in kg/m³: 6011
Magnetic moment in μB per formula unit: 1.62

Unit cell a=4.765 b=4.765 c=5.355 alpha=90.00 beta=90.00 gamma=90.00
Site moments in Bohr magnetons follow the coordinates.
Sites, in units of the cell vectors:
C: 0.500 0.500 0.500  0.87
Os: 0.000 0.000 0.000  0.05
Se: 0.000 0.500 0.000  -0.06
Se: 0.500 0.000 0.000  -0.06
Br: 0.000 0.000 0.500  -0.04

Which structure is the least stable? The one labeled model P.

Model P:
VASP calculation (GGA-PBE) on a relaxed structure of OsCSeBr2.

Density in kg/m³: 5809
Magnetic moment in μB per formula unit: 1.37

Unit cell a=5.216 b=5.216 c=4.633 alpha=90.00 beta=90.00 gamma=90.00
Site moments in Bohr magnetons follow the coordinates.
Sites, in units of the cell vectors:
C: 0.500 0.500 0.500  0.89
Os: 0.000 0.000 0.000  -0.22
Se: 0.000 0.000 0.500  -0.01
Br: 0.000 0.500 0.000  -0.07
Br: 0.500 0.000 0.000  -0.07

Model Q:
VASP calculation (GGA-PBE) on a relaxed structure of OsCSeBr2.

Density in kg/m³: 8539
Magnetic moment in μB per formula unit: 0.00

Unit cell a=4.442 b=4.442 c=4.346 alpha=90.00 beta=90.00 gamma=90.00
Sites, in units of the cell vectors:
C: 0.000 0.000 0.000
Os: 0.500 0.500 0.500
Se: 0.000 0.000 0.500
Br: 0.000 0.500 0.000
Br: 0.500 0.000 0.000

Which structure is the least stable? The one labeled model Q.

Model P:
VASP calculation (GGA-PBE) on a relaxed structure of PC2Br.

Density in kg/m³: 4248
Magnetic moment in μB per formula unit: 0.00

Unit cell a=5.189 b=5.189 c=5.367 alpha=61.09 beta=61.09 gamma=90.00
Sites, in units of the cell vectors:
P: 0.500 0.500 0.000
P: 0.250 0.750 0.500
C: 0.512 0.125 0.250
C: 0.238 0.625 0.250
C: 0.375 0.488 0.750
C: 0.875 0.762 0.750
Br: 0.000 0.000 0.000
Br: 0.750 0.250 0.500

Model Q:
VASP calculation (GGA-PBE) on a relaxed structure of PC2Br.

Density in kg/m³: 4449
Magnetic moment in μB per formula unit: 0.00

Unit cell a=4.145 b=4.145 c=4.145 alpha=60.00 beta=60.00 gamma=60.00
Sites, in units of the cell vectors:
P: 0.000 0.000 0.000
C: 0.250 0.250 0.250
C: 0.750 0.750 0.750
Br: 0.500 0.500 0.500

Which structure is the least stable? The one labeled model Q.